Version a
The following is a DFT calculation (PBE) of La2Nd2Ho5 after structural relaxation.

It has space group C2/m (No. 12), with a = 17.771 Å, b = 3.500 Å, c = 9.885 Å, α = 90.00°, β = 98.66° and γ = 90.00°. The inequivalent atoms are La at (0.165, 0.000, 0.220), Nd at (0.005, 0.500, 0.688), Ho at (0.000, 0.000, 0.000), Ho at (0.171, 0.500, 0.541) and Ho at (0.173, 0.000, 0.864).

The value obtained for the size of the total moment is 0.000 μB per formula unit.



Version b
The following is a DFT calculation (PBE) of La2Nd2Ho5 after structural relaxation.

It has space group Ima2 (No. 46), with a = 15.069 Å, b = 12.014 Å, c = 6.765 Å, α = 90.00°, β = 90.00° and γ = 90.00°. The inequivalent atoms are La at (0.127, 0.002, 0.000), Nd at (0.000, 0.000, 0.541), Nd at (0.250, 0.007, 0.458), Ho at (0.053, 0.745, 0.859), Ho at (0.143, 0.232, 0.670) and Ho at (0.250, 0.740, 0.649).

The value obtained for the size of the total moment is 0.000 μB per formula unit.



Which one is most stable, and which one is least stable? version a is the most stable of them, while version b is the least stable.



Version a
The following is a DFT calculation (PBE) of LaNd2Ho3 after structural relaxation.

It has space group C2/m (No. 12), with a = 15.349 Å, b = 5.122 Å, c = 11.421 Å, α = 90.00°, β = 116.60° and γ = 90.00°. The inequivalent atoms are La at (0.126, 0.000, 0.129), Nd at (0.041, 0.500, 0.871), Nd at (0.205, 0.000, 0.870), Ho at (0.043, 0.000, 0.381), Ho at (0.123, 0.500, 0.619) and Ho at (0.211, 0.500, 0.382).

The value obtained for the size of the total moment is 0.000 μB per formula unit.



Version b
The following is a DFT calculation (PBE) of LaNd2Ho3 after structural relaxation.

It has space group C2/m (No. 12), with a = 23.320 Å, b = 3.539 Å, c = 10.475 Å, α = 90.00°, β = 108.81° and γ = 90.00°. The inequivalent atoms are La at (0.186, 0.000, 0.036), Nd at (0.065, 0.500, 0.143), Nd at (0.191, 0.000, 0.372), Ho at (0.060, 0.000, 0.450), Ho at (0.068, 0.500, 0.756) and Ho at (0.196, 0.000, 0.716).

The value obtained for the size of the total moment is 0.000 μB per formula unit.



Which one is most stable, and which one is least stable? version a is the most stable of them, while version b is the least stable.



Version a
The following is a DFT calculation (PBE) of La7Nd4Ho after structural relaxation.

It has space group C2/m (No. 12), with a = 16.933 Å, b = 6.148 Å, c = 9.869 Å, α = 90.00°, β = 122.56° and γ = 90.00°. The inequivalent atoms are La at (0.000, 0.000, 0.000), La at (0.075, 0.500, 0.423), La at (0.187, 0.500, 0.897), La at (0.229, 0.000, 0.685), Nd at (0.041, 0.000, 0.718), Nd at (0.187, 0.000, 0.323) and Ho at (0.000, 0.500, 0.000).

The value obtained for the size of the total moment is 0.000 μB per formula unit.



Version b
The following is a DFT calculation (PBE) of La7Nd4Ho after structural relaxation.

It has space group P-1 (No. 2), with a = 6.466 Å, b = 7.433 Å, c = 9.253 Å, α = 89.99°, β = 76.52° and γ = 89.88°. The inequivalent atoms are La at (0.000, 0.000, 0.000), La at (0.220, 0.501, 0.331), La at (0.280, 0.251, 0.669), La at (0.500, 0.253, 0.000), Nd at (0.224, 0.000, 0.331), Nd at (0.277, 0.749, 0.672) and Ho at (0.000, 0.500, 0.000).

The value obtained for the size of the total moment is 0.001 μB per formula unit.



Which one is most stable, and which one is least stable? version b is the most stable of them, while version a is the least stable.



Version a
The following is a DFT calculation (PBE) of La2Nd12Ho5 after structural relaxation.

It has space group C2/m (No. 12), with a = 15.961 Å, b = 9.554 Å, c = 8.941 Å, α = 90.00°, β = 102.06° and γ = 90.00°. The inequivalent atoms are La at (0.000, 0.177, 0.000), Nd at (0.023, 0.000, 0.674), Nd at (0.083, 0.500, 0.922), Nd at (0.117, 0.308, 0.305), Nd at (0.173, 0.251, 0.728), Ho at (0.000, 0.500, 0.500), Ho at (0.191, 0.000, 0.045) and Ho at (0.213, 0.000, 0.440).

The value obtained for the size of the total moment is 0.000 μB per formula unit.



Version b
The following is a DFT calculation (PBE) of La2Nd12Ho5 after structural relaxation.

It has space group C2/m (No. 12), with a = 22.367 Å, b = 7.200 Å, c = 8.800 Å, α = 90.00°, β = 109.00° and γ = 90.00°. The inequivalent atoms are La at (0.000, 0.249, 0.000), Nd at (0.048, 0.000, 0.691), Nd at (0.108, 0.243, 0.388), Nd at (0.149, 0.500, 0.076), Nd at (0.199, 0.247, 0.793), Ho at (0.000, 0.500, 0.500), Ho at (0.153, 0.000, 0.098) and Ho at (0.249, 0.500, 0.494).

The value obtained for the size of the total moment is 0.000 μB per formula unit.



Which one is most stable, and which one is least stable? version b is the most stable of them, while version a is the least stable.



Version a
The following is a DFT calculation (PBE) of La2NdHo after structural relaxation.

It has space group R3m (No. 160, hexagonal axes), with a = 3.6798 Å, b = 3.6798 Å, c = 35.8849 Å, α = 90.00°, β = 90.00° and γ = 120.00°. The inequivalent atoms are La at (0.0000, 0.0000, 0.0000), La at (0.0000, 0.0000, 0.1697), Nd at (0.0000, 0.0000, 0.4172) and Ho at (0.0000, 0.0000, 0.5856).

The value obtained for the size of the total moment is 0.000 μB per formula unit.



Version b
The following is a DFT calculation (PBE) of La2NdHo after structural relaxation.

It has space group R-3m (No. 166, hexagonal axes), with a = 3.6868 Å, b = 3.6868 Å, c = 35.6178 Å, α = 90.00°, β = 90.00° and γ = 120.00°. The inequivalent atoms are La at (0.0000, 0.0000, 0.2484), Nd at (0.0000, 0.0000, 0.0000) and Ho at (0.0000, 0.0000, 0.5000).

The value obtained for the size of the total moment is 0.000 μB per formula unit.



Which one is most stable, and which one is least stable? version b is the most stable of them, while version a is the least stable.



Version a
The following is a DFT calculation (PBE) of La3Nd2Ho after structural relaxation.

It has space group P6_3/mcm (No. 193), with a = 6.4094 Å, b = 6.4094 Å, c = 11.9922 Å, α = 90.00°, β = 90.00° and γ = 120.00°. The inequivalent atoms are La at (0.0000, 0.3309, 0.2500), Nd at (0.3333, 0.6667, 0.0000) and Ho at (0.0000, 0.0000, 0.0000).

The value obtained for the size of the total moment is 0.000 μB per formula unit.



Version b
The following is a DFT calculation (PBE) of La3Nd2Ho after structural relaxation.

It has space group Pnnm (No. 58), with a = 6.883 Å, b = 18.065 Å, c = 3.476 Å, α = 90.00°, β = 90.00° and γ = 90.00°. The inequivalent atoms are La at (0.000, 0.000, 0.000), La at (0.239, 0.320, 0.000), Nd at (0.233, 0.151, 0.500) and Ho at (0.000, 0.500, 0.000).

The value obtained for the size of the total moment is 0.000 μB per formula unit.



Which one is most stable, and which one is least stable? version a is the most stable of them, while version b is the least stable.



Version a
The following is a DFT calculation (PBE) of La3NdHo3 after structural relaxation.

It has space group R-3 (No. 148, hexagonal axes), with a = 9.5208 Å, b = 9.5208 Å, c = 18.8874 Å, α = 90.00°, β = 90.00° and γ = 120.00°. The inequivalent atoms are La at (0.0496, 0.8074, 0.0774), Nd at (0.0000, 0.0000, 0.4087) and Ho at (0.0498, 0.8147, 0.2605).

The value obtained for the size of the total moment is 0.000 μB per formula unit.



Version b
The following is a DFT calculation (PBE) of La3NdHo3 after structural relaxation.

It has space group P6_3/m (No. 176), with a = 9.7911 Å, b = 9.7911 Å, c = 5.8462 Å, α = 90.00°, β = 90.00° and γ = 120.00°. The inequivalent atoms are La at (0.0965, 0.4725, 0.2500), Nd at (0.3333, 0.6667, 0.7500) and Ho at (0.0457, 0.2300, 0.7500).

The value obtained for the size of the total moment is 0.000 μB per formula unit.



Which one is most stable, and which one is least stable? version b is the most stable of them, while version a is the least stable.



Version a
The following is a DFT calculation (PBE) of LaNd7Ho4 after structural relaxation.

It has space group P-1 (No. 2), with a = 6.357 Å, b = 7.333 Å, c = 9.038 Å, α = 90.00°, β = 103.56° and γ = 90.00°. The inequivalent atoms are La at (0.000, 0.000, 0.000), Nd at (0.000, 0.500, 0.000), Nd at (0.224, 0.999, 0.664), Nd at (0.281, 0.747, 0.337), Nd at (0.500, 0.254, 0.002), Ho at (0.218, 0.500, 0.664) and Ho at (0.278, 0.255, 0.334).

The value obtained for the size of the total moment is 0.000 μB per formula unit.



Version b
The following is a DFT calculation (PBE) of LaNd7Ho4 after structural relaxation.

It has space group C2/m (No. 12), with a = 12.176 Å, b = 6.064 Å, c = 12.811 Å, α = 90.00°, β = 117.88° and γ = 90.00°. The inequivalent atoms are La at (0.000, 0.000, 0.000), Nd at (0.000, 0.500, 0.000), Nd at (0.058, 0.000, 0.332), Nd at (0.131, 0.500, 0.504), Nd at (0.209, 0.000, 0.919), Ho at (0.134, 0.500, 0.775) and Ho at (0.246, 0.500, 0.315).

The value obtained for the size of the total moment is 0.041 μB per formula unit.



Which one is most stable, and which one is least stable? version a is the most stable of them, while version b is the least stable.



Version a
The following is a DFT calculation (PBE) of La8Nd2Ho3 after structural relaxation.

It has space group C2/m (No. 12), with a = 20.856 Å, b = 7.751 Å, c = 5.828 Å, α = 90.00°, β = 90.01° and γ = 90.00°. The inequivalent atoms are La at (0.103, 0.200, 0.000), La at (0.130, 0.500, 0.499), La at (0.173, 0.000, 0.500), Nd at (0.240, 0.500, 0.999), Ho at (0.000, 0.218, 0.500) and Ho at (0.000, 0.500, 0.000).

The value obtained for the size of the total moment is 0.000 μB per formula unit.



Version b
The following is a DFT calculation (PBE) of La8Nd2Ho3 after structural relaxation.

It has space group C2/m (No. 12), with a = 13.697 Å, b = 11.902 Å, c = 6.203 Å, α = 90.00°, β = 113.53° and γ = 90.00°. The inequivalent atoms are La at (0.083, 0.000, 0.244), La at (0.138, 0.500, 0.614), La at (0.162, 0.263, 0.154), Nd at (0.187, 0.000, 0.831), Ho at (0.000, 0.233, 0.500) and Ho at (0.000, 0.500, 0.000).

The value obtained for the size of the total moment is 0.000 μB per formula unit.



Which one is most stable, and which one is least stable? version b is the most stable of them, while version a is the least stable.



Version a
The following is a DFT calculation (PBE) of La3Nd7Ho2 after structural relaxation.

It has space group R-3m (No. 166, hexagonal axes), with a = 6.7005 Å, b = 6.7005 Å, c = 34.2770 Å, α = 90.00°, β = 90.00° and γ = 120.00°. The inequivalent atoms are La at (0.0000, 0.0000, 0.0000), La at (0.0000, 0.0000, 0.1522), Nd at (0.0000, 0.0000, 0.5000), Nd at (0.0036, 0.5018, 0.9166) and Ho at (0.0000, 0.0000, 0.3339).

The value obtained for the size of the total moment is 0.000 μB per formula unit.



Version b
The following is a DFT calculation (PBE) of La3Nd7Ho2 after structural relaxation.

It has space group P2/m (No. 10), with a = 6.004 Å, b = 3.655 Å, c = 19.419 Å, α = 90.00°, β = 93.03° and γ = 90.00°. The inequivalent atoms are La at (0.000, 0.000, 0.000), La at (0.277, 0.500, 0.634), Nd at (0.190, 0.500, 0.146), Nd at (0.244, 0.000, 0.464), Nd at (0.307, 0.000, 0.820), Nd at (0.500, 0.500, 0.000) and Ho at (0.214, 0.000, 0.294).

The value obtained for the size of the total moment is 0.000 μB per formula unit.



Which one is most stable, and which one is least stable? version b is the most stable of them, while version a is the least stable.